(1)
# Ir2RhWC (SCAN, single point on PBEsol structure)
# ρ ... 11.262 g cm⁻³
# ΔE_f ... 2.979 eV/atom
# Total magnetization ... 1.50 μB/f.u.
data_Ir2RhWC
_chemical_formula_sum 'Ir2 Rh1 W1 C1'
_cell_length_a 4.6767
_cell_length_b 4.6767
_cell_length_c 4.6057
_cell_angle_alpha 90.00
_cell_angle_beta 90.00
_cell_angle_gamma 90.00
_symmetry_space_group_name_H-M 'P 4/m m m'
_symmetry_Int_Tables_number 123
_symmetry_space_group_name_Hall '-P 4 2'
loop_
_atom_site_label
_atom_site_fract_x
_atom_site_fract_y
_atom_site_fract_z
_atom_site_occupancy
Ir1 0.0000 0.5000 0.0000 1
Rh1 0.0000 0.0000 0.5000 1
W1 0.0000 0.0000 0.0000 1
C1 0.5000 0.5000 0.5000 1



(2)
# IrRu3C (SCAN, single point on PBEsol structure)
# ρ ... 13.559 g cm⁻³
# ΔE_f ... 0.415 eV/atom
# Total magnetization ... 0.00 μB/f.u.
data_IrRu3C
_chemical_formula_sum 'Ir1 Ru3 C1'
_cell_length_a 3.9609
_cell_length_b 3.9609
_cell_length_c 3.9609
_cell_angle_alpha 90.00
_cell_angle_beta 90.00
_cell_angle_gamma 90.00
_symmetry_space_group_name_H-M 'P m -3 m'
_symmetry_Int_Tables_number 221
_symmetry_space_group_name_Hall '-P 4 2 3'
loop_
_atom_site_label
_atom_site_fract_x
_atom_site_fract_y
_atom_site_fract_z
_atom_site_occupancy
Ir1 0.0000 0.0000 0.0000 1
Ru1 0.0000 0.5000 0.5000 1
C1 0.5000 0.5000 0.5000 1



(3)
# Ir2CS (SCAN, single point on PBEsol structure)
# Uncorrected formation energy ... 143.06 kJ/mol of atoms
# ρ ... 14.994 g cm⁻³
# Total magnetization ... 0.00 μB/f.u.
data_Ir2CS
_chemical_formula_sum 'Ir8 C4 S4'
_cell_length_a 5.7471
_cell_length_b 5.7471
_cell_length_c 5.7471
_cell_angle_alpha 90.00
_cell_angle_beta 90.00
_cell_angle_gamma 90.00
_symmetry_space_group_name_H-M 'F m -3 m'
_symmetry_Int_Tables_number 225
_symmetry_space_group_name_Hall '-F 4 2 3'
loop_
_atom_site_label
_atom_site_fract_x
_atom_site_fract_y
_atom_site_fract_z
_atom_site_occupancy
Ir1 0.2500 0.2500 0.2500 1
C1 0.0000 0.0000 0.0000 1
S1 0.0000 0.0000 0.5000 1



Which of these has the lowest ρ? Ir2RhWC